# 1
Entry from Alexandria: a geometry-optimized Tl2CuSe2 structure (PBE).

* electronic total energy: -3.020 eV/atom
* space-group type: P4/mmm

```
data_Tl2CuSe2
_chemical_formula_sum 'Tl2 Cu1 Se2'
_cell_length_a 3.054
_cell_length_b 3.054
_cell_length_c 14.477
_cell_angle_alpha 90.00
_cell_angle_beta 90.00
_cell_angle_gamma 90.00
_symmetry_space_group_name_H-M 'P 1'
_symmetry_Int_Tables_number 1
_symmetry_space_group_name_Hall 'P 1'
loop_
_atom_site_label
_atom_site_type_symbol
_atom_site_fract_x
_atom_site_fract_y
_atom_site_fract_z
_atom_site_occupancy
Tl1 Tl 0.000 0.000 0.122 1
Tl2 Tl 0.000 0.000 0.878 1
Cu1 Cu 0.000 0.000 0.500 1
Se1 Se 0.000 0.000 0.342 1
Se2 Se 0.000 0.000 0.658 1
```

***

# 2
Entry from Alexandria: a geometry-optimized AlFeRu2 structure (PBE).

* energy of formation: -0.010 eV/atom
* electronic total energy: -7.699 eV/atom
* space-group type: Cmmm

```
data_AlFeRu2
_chemical_formula_sum 'Al1 Fe1 Ru2'
_cell_length_a 2.710
_cell_length_b 2.710
_cell_length_c 8.316
_cell_angle_alpha 90.00
_cell_angle_beta 90.00
_cell_angle_gamma 115.04
_symmetry_space_group_name_H-M 'P 1'
_symmetry_Int_Tables_number 1
_symmetry_space_group_name_Hall 'P 1'
loop_
_atom_site_label
_atom_site_type_symbol
_atom_site_fract_x
_atom_site_fract_y
_atom_site_fract_z
_atom_site_occupancy
Al1 Al 0.000 0.000 0.000 1
Fe1 Fe 0.000 0.000 0.500 1
Ru1 Ru 0.500 0.500 0.248 1
Ru2 Ru 0.500 0.500 0.752 1
```

***

# 3
Entry from Alexandria: a geometry-optimized Mg2SnAs structure (PBE).

* energy of formation: -0.095 eV/atom
* electronic total energy: -3.055 eV/atom
* space-group type: Fm-3m

```
data_Mg2SnAs
_chemical_formula_sum 'Mg2 Sn1 As1'
_cell_length_a 4.994
_cell_length_b 4.994
_cell_length_c 4.994
_cell_angle_alpha 60.00
_cell_angle_beta 60.00
_cell_angle_gamma 60.00
_symmetry_space_group_name_H-M 'P 1'
_symmetry_Int_Tables_number 1
_symmetry_space_group_name_Hall 'P 1'
loop_
_atom_site_label
_atom_site_type_symbol
_atom_site_fract_x
_atom_site_fract_y
_atom_site_fract_z
_atom_site_occupancy
Mg1 Mg 0.250 0.250 0.250 1
Mg2 Mg 0.750 0.750 0.750 1
Sn1 Sn 0.000 0.000 0.000 1
As1 As 0.500 0.500 0.500 1
```

***

# 4
Entry from Alexandria: a geometry-optimized Y2MnGe structure (PBE).

* energy of formation: -0.275 eV/atom
* electronic total energy: -6.954 eV/atom
* space-group type: Cmm2

```
data_Y2MnGe
_chemical_formula_sum 'Y4 Mn2 Ge2'
_cell_length_a 6.309
_cell_length_b 6.309
_cell_length_c 5.697
_cell_angle_alpha 90.00
_cell_angle_beta 90.00
_cell_angle_gamma 128.79
_symmetry_space_group_name_H-M 'P 1'
_symmetry_Int_Tables_number 1
_symmetry_space_group_name_Hall 'P 1'
loop_
_atom_site_label
_atom_site_type_symbol
_atom_site_fract_x
_atom_site_fract_y
_atom_site_fract_z
_atom_site_occupancy
Y1 Y 0.000 0.000 0.000 1
Y2 Y 0.171 0.829 0.463 1
Y3 Y 0.500 0.500 0.655 1
Y4 Y 0.829 0.171 0.463 1
Mn1 Mn 0.000 0.500 0.907 1
Mn2 Mn 0.500 0.000 0.907 1
Ge1 Ge 0.383 0.617 0.165 1
Ge2 Ge 0.617 0.383 0.165 1
```

***

# 5
Entry from Alexandria: a geometry-optimized TaTl4Re structure (PBE).

* energy of formation: 1.606 eV/atom
* electronic total energy: -4.022 eV/atom
* space-group type: F-43m

```
data_TaTl4Re
_chemical_formula_sum 'Ta1 Tl4 Re1'
_cell_length_a 5.909
_cell_length_b 5.909
_cell_length_c 5.909
_cell_angle_alpha 60.00
_cell_angle_beta 60.00
_cell_angle_gamma 60.00
_symmetry_space_group_name_H-M 'P 1'
_symmetry_Int_Tables_number 1
_symmetry_space_group_name_Hall 'P 1'
loop_
_atom_site_label
_atom_site_type_symbol
_atom_site_fract_x
_atom_site_fract_y
_atom_site_fract_z
_atom_site_occupancy
Ta1 Ta 0.000 0.000 0.000 1
Tl1 Tl 0.125 0.625 0.625 1
Tl2 Tl 0.625 0.125 0.625 1
Tl3 Tl 0.625 0.625 0.125 1
Tl4 Tl 0.625 0.625 0.625 1
Re1 Re 0.250 0.250 0.250 1
```

***

# 6
Entry from Alexandria: a geometry-optimized CdAs2Se structure (PBE).

* electronic total energy: -3.188 eV/atom
* space-group type: C2/m

```
data_CdAs2Se
_chemical_formula_sum 'Cd1 As2 Se1'
_cell_length_a 6.092
_cell_length_b 6.092
_cell_length_c 5.974
_cell_angle_alpha 90.23
_cell_angle_beta 90.23
_cell_angle_gamma 26.39
_symmetry_space_group_name_H-M 'P 1'
_symmetry_Int_Tables_number 1
_symmetry_space_group_name_Hall 'P 1'
loop_
_atom_site_label
_atom_site_type_symbol
_atom_site_fract_x
_atom_site_fract_y
_atom_site_fract_z
_atom_site_occupancy
Cd1 Cd 0.000 0.000 0.000 1
As1 As 0.310 0.310 0.173 1
As2 As 0.690 0.690 0.827 1
Se1 Se 0.500 0.500 0.500 1
```

***

# 7
Entry from Alexandria: a geometry-optimized RbLiGa2 structure (PBE).

* energy of formation: 0.275 eV/atom
* electronic total energy: -1.959 eV/atom
* space-group type: Fm-3m

```
data_RbLiGa2
_chemical_formula_sum 'Rb1 Li1 Ga2'
_cell_length_a 5.400
_cell_length_b 5.400
_cell_length_c 5.400
_cell_angle_alpha 60.00
_cell_angle_beta 60.00
_cell_angle_gamma 60.00
_symmetry_space_group_name_H-M 'P 1'
_symmetry_Int_Tables_number 1
_symmetry_space_group_name_Hall 'P 1'
loop_
_atom_site_label
_atom_site_type_symbol
_atom_site_fract_x
_atom_site_fract_y
_atom_site_fract_z
_atom_site_occupancy
Rb1 Rb 0.000 0.000 0.000 1
Li1 Li 0.500 0.500 0.500 1
Ga1 Ga 0.250 0.250 0.250 1
Ga2 Ga 0.750 0.750 0.750 1
```

***

# 8
Entry from Alexandria: a geometry-optimized YSc2Tl structure (PBE).

* energy of formation: -0.074 eV/atom
* electronic total energy: -5.448 eV/atom
* space-group type: R3m

```
data_YSc2Tl
_chemical_formula_sum 'Y1 Sc2 Tl1'
_cell_length_a 10.738
_cell_length_b 10.738
_cell_length_c 10.738
_cell_angle_alpha 18.31
_cell_angle_beta 18.31
_cell_angle_gamma 18.31
_symmetry_space_group_name_H-M 'P 1'
_symmetry_Int_Tables_number 1
_symmetry_space_group_name_Hall 'P 1'
loop_
_atom_site_label
_atom_site_type_symbol
_atom_site_fract_x
_atom_site_fract_y
_atom_site_fract_z
_atom_site_occupancy
Y1 Y 0.000 0.000 0.000 1
Sc1 Sc 0.246 0.246 0.246 1
Sc2 Sc 0.499 0.499 0.499 1
Tl1 Tl 0.752 0.752 0.752 1
```

***

# 9
Entry from Alexandria: a geometry-optimized BePC structure (PBE).

* energy of formation: 0.272 eV/atom
* electronic total energy: -5.848 eV/atom
* space-group type: P2_1

```
data_BePC
_chemical_formula_sum 'Be2 P2 C2'
_cell_length_a 4.223
_cell_length_b 4.125
_cell_length_c 4.455
_cell_angle_alpha 90.00
_cell_angle_beta 113.93
_cell_angle_gamma 90.00
_symmetry_space_group_name_H-M 'P 1'
_symmetry_Int_Tables_number 1
_symmetry_space_group_name_Hall 'P 1'
loop_
_atom_site_label
_atom_site_type_symbol
_atom_site_fract_x
_atom_site_fract_y
_atom_site_fract_z
_atom_site_occupancy
Be1 Be 0.193 0.000 0.035 1
Be2 Be 0.807 0.500 0.965 1
P1 P 0.244 0.622 0.690 1
P2 P 0.756 0.122 0.310 1
C1 C 0.015 0.790 0.286 1
C2 C 0.985 0.290 0.714 1
```

***

# 10
Entry from Alexandria: a geometry-optimized TlReOs structure (PBE).

* energy of formation: 0.573 eV/atom
* electronic total energy: -8.108 eV/atom
* space-group type: I4mm

```
data_TlReOs
_chemical_formula_sum 'Tl1 Re1 Os1'
_cell_length_a 6.458
_cell_length_b 6.458
_cell_length_c 6.458
_cell_angle_alpha 153.79
_cell_angle_beta 153.79
_cell_angle_gamma 37.41
_symmetry_space_group_name_H-M 'P 1'
_symmetry_Int_Tables_number 1
_symmetry_space_group_name_Hall 'P 1'
loop_
_atom_site_label
_atom_site_type_symbol
_atom_site_fract_x
_atom_site_fract_y
_atom_site_fract_z
_atom_site_occupancy
Tl1 Tl 0.000 0.000 0.000 1
Re1 Re 0.313 0.313 0.000 1
Os1 Os 0.686 0.686 0.000 1
```

***

# 11
Entry from Alexandria: a geometry-optimized TbMgAl2Ag4 structure (PBE).

* energy of formation: -0.220 eV/atom
* electronic total energy: -3.359 eV/atom
* space-group type: R-3m

```
data_TbMgAl2Ag4
_chemical_formula_sum 'Tb1 Mg1 Al2 Ag4'
_cell_length_a 8.895
_cell_length_b 8.895
_cell_length_c 8.895
_cell_angle_alpha 29.75
_cell_angle_beta 29.75
_cell_angle_gamma 29.75
_symmetry_space_group_name_H-M 'P 1'
_symmetry_Int_Tables_number 1
_symmetry_space_group_name_Hall 'P 1'
loop_
_atom_site_label
_atom_site_type_symbol
_atom_site_fract_x
_atom_site_fract_y
_atom_site_fract_z
_atom_site_occupancy
Tb1 Tb 0.000 0.000 0.000 1
Mg1 Mg 0.500 0.500 0.500 1
Al1 Al 0.248 0.248 0.248 1
Al2 Al 0.752 0.752 0.752 1
Ag1 Ag 0.129 0.129 0.129 1
Ag2 Ag 0.394 0.394 0.394 1
Ag3 Ag 0.606 0.606 0.606 1
Ag4 Ag 0.871 0.871 0.871 1
```

***

# 12
Entry from Alexandria: a geometry-optimized MgBrCl2 structure (PBE).

* electronic total energy: -2.440 eV/atom
* space-group type: P4mm

```
data_MgBrCl2
_chemical_formula_sum 'Mg1 Br1 Cl2'
_cell_length_a 3.252
_cell_length_b 3.252
_cell_length_c 9.849
_cell_angle_alpha 90.00
_cell_angle_beta 90.00
_cell_angle_gamma 90.00
_symmetry_space_group_name_H-M 'P 1'
_symmetry_Int_Tables_number 1
_symmetry_space_group_name_Hall 'P 1'
loop_
_atom_site_label
_atom_site_type_symbol
_atom_site_fract_x
_atom_site_fract_y
_atom_site_fract_z
_atom_site_occupancy
Mg1 Mg 0.000 0.000 0.000 1
Br1 Br 0.500 0.500 0.182 1
Cl1 Cl 0.000 0.000 0.532 1
Cl2 Cl 0.500 0.500 0.860 1
```

***

# 13
Entry from Alexandria: a geometry-optimized GeHRh2 structure (PBE).

* electronic total energy: -5.686 eV/atom
* space-group type: Fm-3m

```
data_GeHRh2
_chemical_formula_sum 'Ge1 H1 Rh2'
_cell_length_a 4.088
_cell_length_b 4.088
_cell_length_c 4.088
_cell_angle_alpha 60.00
_cell_angle_beta 60.00
_cell_angle_gamma 60.00
_symmetry_space_group_name_H-M 'P 1'
_symmetry_Int_Tables_number 1
_symmetry_space_group_name_Hall 'P 1'
loop_
_atom_site_label
_atom_site_type_symbol
_atom_site_fract_x
_atom_site_fract_y
_atom_site_fract_z
_atom_site_occupancy
Ge1 Ge 0.000 0.000 0.000 1
H1 H 0.500 0.500 0.500 1
Rh1 Rh 0.250 0.250 0.250 1
Rh2 Rh 0.750 0.750 0.750 1
```

***

# 14
Entry from Alexandria: a geometry-optimized AcPuS2 structure (PBE).

* electronic total energy: -8.193 eV/atom
* space-group type: P4/mmm

```
data_AcPuS2
_chemical_formula_sum 'Ac1 Pu1 S2'
_cell_length_a 3.587
_cell_length_b 3.587
_cell_length_c 7.184
_cell_angle_alpha 90.00
_cell_angle_beta 90.00
_cell_angle_gamma 90.00
_symmetry_space_group_name_H-M 'P 1'
_symmetry_Int_Tables_number 1
_symmetry_space_group_name_Hall 'P 1'
loop_
_atom_site_label
_atom_site_type_symbol
_atom_site_fract_x
_atom_site_fract_y
_atom_site_fract_z
_atom_site_occupancy
Ac1 Ac 0.000 0.000 0.000 1
Pu1 Pu 0.000 0.000 0.500 1
S1 S 0.500 0.500 0.262 1
S2 S 0.500 0.500 0.738 1
```

***

# 15
Entry from Alexandria: a geometry-optimized Dy3PuO6F2 structure (PBE).

* electronic total energy: -8.446 eV/atom
* space-group type: C2/m

```
data_Dy3PuO6F2
_chemical_formula_sum 'Dy3 Pu1 O6 F2'
_cell_length_a 6.794
_cell_length_b 6.794
_cell_length_c 4.718
_cell_angle_alpha 92.49
_cell_angle_beta 92.49
_cell_angle_gamma 59.24
_symmetry_space_group_name_H-M 'P 1'
_symmetry_Int_Tables_number 1
_symmetry_space_group_name_Hall 'P 1'
loop_
_atom_site_label
_atom_site_type_symbol
_atom_site_fract_x
_atom_site_fract_y
_atom_site_fract_z
_atom_site_occupancy
Dy1 Dy 0.000 0.000 0.000 1
Dy2 Dy 0.000 0.500 0.500 1
Dy3 Dy 0.500 0.000 0.500 1
Pu1 Pu 0.500 0.500 0.500 1
O1 O 0.176 0.669 0.726 1
O2 O 0.331 0.824 0.274 1
O3 O 0.335 0.335 0.296 1
O4 O 0.665 0.665 0.704 1
O5 O 0.669 0.176 0.726 1
O6 O 0.824 0.331 0.274 1
F1 F 0.170 0.170 0.761 1
F2 F 0.830 0.830 0.239 1
```

***

# 16
Entry from Alexandria: a geometry-optimized AcPrSmMg structure (PBE).

* energy of formation: 0.094 eV/atom
* electronic total energy: -3.707 eV/atom
* space-group type: F-43m

```
data_AcPrSmMg
_chemical_formula_sum 'Ac1 Pr1 Sm1 Mg1'
_cell_length_a 5.805
_cell_length_b 5.805
_cell_length_c 5.805
_cell_angle_alpha 60.00
_cell_angle_beta 60.00
_cell_angle_gamma 60.00
_symmetry_space_group_name_H-M 'P 1'
_symmetry_Int_Tables_number 1
_symmetry_space_group_name_Hall 'P 1'
loop_
_atom_site_label
_atom_site_type_symbol
_atom_site_fract_x
_atom_site_fract_y
_atom_site_fract_z
_atom_site_occupancy
Ac1 Ac 0.000 0.000 0.000 1
Pr1 Pr 0.750 0.750 0.750 1
Sm1 Sm 0.250 0.250 0.250 1
Mg1 Mg 0.500 0.500 0.500 1
```

***

# 17
Entry from Alexandria: a geometry-optimized KMnHg4 structure (PBE).

* energy of formation: 0.247 eV/atom
* electronic total energy: -1.666 eV/atom
* space-group type: F-43m

```
data_KMnHg4
_chemical_formula_sum 'K1 Mn1 Hg4'
_cell_length_a 6.134
_cell_length_b 6.134
_cell_length_c 6.134
_cell_angle_alpha 60.00
_cell_angle_beta 60.00
_cell_angle_gamma 60.00
_symmetry_space_group_name_H-M 'P 1'
_symmetry_Int_Tables_number 1
_symmetry_space_group_name_Hall 'P 1'
loop_
_atom_site_label
_atom_site_type_symbol
_atom_site_fract_x
_atom_site_fract_y
_atom_site_fract_z
_atom_site_occupancy
K1 K 0.000 0.000 0.000 1
Mn1 Mn 0.750 0.750 0.750 1
Hg1 Hg 0.375 0.375 0.375 1
Hg2 Hg 0.375 0.375 0.874 1
Hg3 Hg 0.375 0.874 0.375 1
Hg4 Hg 0.874 0.375 0.375 1
```